Here is a relaxed BC crystal from the Alexandria database. Energies are from PBE-GGA.

Results
The crystal system is monoclinic. The excess energy over the best structure of this formula in the dataset is 20.6 kJ/mol of atoms. The value obtained for the total energy is -7.59 eV per atom. The formation energy comes out at 0.36 eV/atom. Its spin magnetization is 0.0 μB per formula unit. The density of states at the Fermi level is 0.00 states/eV/atom.

Lattice parameters (Å, degrees): 4.628 4.628 4.662 99.96 99.96 119.99
Fractional coordinates of all 12 atoms:
1 B 0.000 0.000 0.000
2 B 0.212 0.831 0.574
3 B 0.584 0.584 0.575
4 B 0.611 0.611 0.948
5 B 0.831 0.212 0.574
6 B 0.875 0.875 0.338
7 C 0.311 0.963 0.935
8 C 0.319 0.666 0.050
9 C 0.476 0.803 0.402
10 C 0.666 0.319 0.050
11 C 0.803 0.476 0.402
12 C 0.963 0.311 0.935



Here is a relaxed BC crystal from the Alexandria database. Energies are from PBE-GGA.

Results
The crystal system is monoclinic. The excess energy over the best structure of this formula in the dataset is 21.8 kJ/mol of atoms. The value obtained for the total energy is -7.57 eV per atom. The formation energy comes out at 0.38 eV/atom. Its spin magnetization is 0.0 μB per formula unit. The density of states at the Fermi level is 0.13 states/eV/atom.

Lattice parameters (Å, degrees): 7.230 7.230 4.713 107.40 107.40 20.73
Fractional coordinates of all 12 atoms:
1 B 0.000 0.000 0.000
2 B 0.029 0.029 0.667
3 B 0.195 0.195 0.529
4 B 0.460 0.460 0.409
5 B 0.636 0.636 0.260
6 B 0.825 0.825 0.788
7 C 0.146 0.146 0.810
8 C 0.312 0.312 0.605
9 C 0.342 0.342 0.304
10 C 0.519 0.519 0.162
11 C 0.688 0.688 0.989
12 C 0.803 0.803 0.114



Here is a relaxed BC crystal from the Alexandria database. Energies are from PBE-GGA.

Results
The crystal system is monoclinic. The excess energy over the best structure of this formula in the dataset is 20.4 kJ/mol of atoms. The value obtained for the total energy is -7.59 eV per atom. The formation energy comes out at 0.36 eV/atom. Its spin magnetization is 0.0 μB per formula unit. The density of states at the Fermi level is 0.21 states/eV/atom.

Lattice parameters (Å, degrees): 4.445 4.445 4.800 98.01 98.01 121.54
Fractional coordinates of all 12 atoms:
1 B 0.000 0.000 0.000
2 B 0.166 0.918 0.484
3 B 0.220 0.623 0.687
4 B 0.437 0.437 0.471
5 B 0.623 0.220 0.687
6 B 0.918 0.166 0.484
7 C 0.056 0.714 0.147
8 C 0.354 0.695 0.036
9 C 0.382 0.382 0.120
10 C 0.695 0.354 0.036
11 C 0.714 0.056 0.147
12 C 0.826 0.826 0.652



- Which value of excess energy over the best structure of this formula in the dataset does entry 1 give?
  20.6 kJ/mol of atoms



- Number 2 is which compound?
  BC



Repeat the second record exactly.
Here is a relaxed BC crystal from the Alexandria database. Energies are from PBE-GGA.

Results
The crystal system is monoclinic. The excess energy over the best structure of this formula in the dataset is 21.8 kJ/mol of atoms. The value obtained for the total energy is -7.57 eV per atom. The formation energy comes out at 0.38 eV/atom. Its spin magnetization is 0.0 μB per formula unit. The density of states at the Fermi level is 0.13 states/eV/atom.

Lattice parameters (Å, degrees): 7.230 7.230 4.713 107.40 107.40 20.73
Fractional coordinates of all 12 atoms:
1 B 0.000 0.000 0.000
2 B 0.029 0.029 0.667
3 B 0.195 0.195 0.529
4 B 0.460 0.460 0.409
5 B 0.636 0.636 0.260
6 B 0.825 0.825 0.788
7 C 0.146 0.146 0.810
8 C 0.312 0.312 0.605
9 C 0.342 0.342 0.304
10 C 0.519 0.519 0.162
11 C 0.688 0.688 0.989
12 C 0.803 0.803 0.114